{
  "formula": "BaNd5Hg6",
  "functional": "GGA-PBE",
  "state": "optimized geometry",
  "ef_ev_per_atom": -0.448,
  "lattice": [[-3.471, 1.195, 4.084], [-6.030, -1.927, -4.560], [5.224, -7.426, 2.905]],
  "species": ["Hg", "Nd", "Hg", "Hg", "Ba", "Nd", "Nd", "Nd", "Hg", "Hg", "Hg", "Nd"],
  "fractional_positions": [[0.826, 0.562, 0.651], [0.669, 0.669, 0.339], [0.500, 0.275, 0.000], [0.174, 0.438, 0.349], [0.000, 0.000, 0.000], [0.000, 0.500, 0.000], [0.661, 0.161, 0.322], [0.339, 0.839, 0.678], [0.500, 0.725, 0.000], [0.826, 0.089, 0.651], [0.174, 0.911, 0.349], [0.331, 0.331, 0.661]]
}

{
  "formula": "LiTbHoMo",
  "functional": "GGA-PBE",
  "state": "optimized geometry",
  "ef_ev_per_atom": 0.260,
  "lattice": [[4.987, 0.000, 0.000], [2.494, 4.319, 0.000], [2.494, 1.440, 4.072]],
  "species": ["Li", "Mo", "Ho", "Tb"],
  "fractional_positions": [[0.750, 0.750, 0.750], [0.250, 0.250, 0.250], [0.000, 0.000, 0.000], [0.500, 0.500, 0.500]]
}

{
  "formula": "Ce3Mg3Ru2",
  "functional": "GGA-PBE",
  "state": "optimized geometry",
  "ef_ev_per_atom": -0.219,
  "lattice": [[-2.808, -4.161, 0.903], [4.140, -2.498, 1.361], [-0.354, 4.747, 6.369]],
  "species": ["Ru", "Ru", "Ce", "Mg", "Mg", "Mg", "Ce", "Ce"],
  "fractional_positions": [[0.799, 0.875, 0.598], [0.201, 0.125, 0.402], [0.169, 0.577, 0.338], [0.631, 0.042, 0.262], [0.369, 0.958, 0.738], [0.500, 0.500, 0.000], [0.831, 0.423, 0.662], [0.000, 0.000, 0.000]]
}

{
  "formula": "TbPm4Er15",
  "functional": "GGA-PBE",
  "state": "optimized geometry",
  "ef_ev_per_atom": 0.022,
  "lattice": [[5.007, 0.000, 0.000], [0.000, 5.007, 0.000], [0.000, 0.000, 24.952]],
  "species": ["Er", "Pm", "Er", "Pm", "Er", "Er", "Er", "Er", "Er", "Er", "Er", "Er", "Er", "Er", "Er", "Pm", "Er", "Tb", "Er", "Pm"],
  "fractional_positions": [[0.000, 0.500, 0.901], [0.000, 0.000, 0.600], [0.000, 0.500, 0.500], [0.000, 0.000, 0.200], [0.500, 0.000, 0.901], [0.000, 0.500, 0.299], [0.500, 0.000, 0.299], [0.000, 0.500, 0.099], [0.500, 0.500, 0.199], [0.500, 0.500, 0.000], [0.500, 0.000, 0.701], [0.500, 0.000, 0.500], [0.500, 0.500, 0.400], [0.500, 0.000, 0.099], [0.500, 0.500, 0.801], [0.000, 0.000, 0.400], [0.500, 0.500, 0.600], [0.000, 0.000, 0.000], [0.000, 0.500, 0.701], [0.000, 0.000, 0.800]]
}

{
  "formula": "TbPm14Zr",
  "functional": "GGA-PBE",
  "state": "optimized geometry",
  "ef_ev_per_atom": 0.045,
  "lattice": [[7.167, 0.962, 0.000], [-0.961, 7.167, 0.000], [0.000, 0.000, 10.207]],
  "species": ["Pm", "Pm", "Pm", "Tb", "Pm", "Pm", "Pm", "Pm", "Pm", "Pm", "Pm", "Pm", "Pm", "Zr", "Pm", "Pm"],
  "fractional_positions": [[0.120, 0.370, 0.757], [0.375, 0.125, 0.000], [0.375, 0.125, 0.500], [0.375, 0.625, 0.000], [0.875, 0.625, 0.500], [0.630, 0.370, 0.757], [0.120, 0.880, 0.757], [0.875, 0.625, 0.000], [0.120, 0.370, 0.243], [0.375, 0.625, 0.500], [0.630, 0.880, 0.757], [0.630, 0.880, 0.243], [0.875, 0.125, 0.500], [0.875, 0.125, 0.000], [0.630, 0.370, 0.243], [0.120, 0.880, 0.243]]
}

{
  "formula": "Sr2GaSb",
  "functional": "GGA-PBE",
  "state": "optimized geometry",
  "e_form_raw_ev_per_atom": -0.634,
  "lattice": [[-1.740, -1.205, 3.884], [4.859, 0.080, 2.202], [-0.670, 5.133, 1.292]],
  "species": ["Sr", "Sr", "Ga", "Sb"],
  "fractional_positions": [[0.000, 0.000, 0.500], [0.000, 0.500, 0.000], [0.500, 0.000, 0.000], [0.500, 0.500, 0.500]]
}

{
  "formula": "Pu5Pd2Rh",
  "functional": "GGA-PBE",
  "state": "optimized geometry",
  "ef_ev_per_atom": -0.277,
  "lattice": [[6.798, 0.000, -3.209], [-1.515, 6.627, -3.209], [-0.152, -0.190, 8.483]],
  "species": ["Pu", "Pu", "Pd", "Rh", "Pd", "Pd", "Pu", "Pu", "Rh", "Pu", "Pu", "Pu", "Pd", "Pu", "Pu", "Pu"],
  "fractional_positions": [[0.483, 0.324, 0.308], [0.176, 0.017, 0.692], [0.872, 0.628, 0.000], [0.250, 0.250, 0.500], [0.128, 0.372, 0.000], [0.628, 0.128, 0.000], [0.017, 0.517, 0.692], [0.500, 0.500, 0.000], [0.750, 0.750, 0.500], [0.000, 0.000, 0.000], [0.824, 0.983, 0.308], [0.676, 0.176, 0.692], [0.372, 0.872, 0.000], [0.517, 0.676, 0.692], [0.324, 0.824, 0.308], [0.983, 0.483, 0.308]]
}

{
  "formula": "Pm4PS2N",
  "functional": "GGA-PBE",
  "state": "optimized geometry",
  "e_form_raw_ev_per_atom": -1.752,
  "lattice": [[-1.619, -2.033, 2.949], [3.558, -5.530, -1.858], [3.746, 3.664, 4.583]],
  "species": ["S", "P", "Pm", "Pm", "S", "N", "Pm", "Pm"],
  "fractional_positions": [[0.500, 0.000, 0.500], [0.000, 0.000, 0.000], [0.500, 0.737, 0.771], [0.000, 0.724, 0.220], [0.000, 0.500, 0.500], [0.500, 0.500, 0.000], [0.500, 0.263, 0.229], [0.000, 0.276, 0.780]]
}